A relaxed structure of LaTaN3. Source: the Alexandria database, functional GGA-PBE.

Lattice parameters (Å, degrees): 3.4020 5.5132 7.0131 90.00 90.00 90.00
Space group Pmmn (No. 59, origin choice 2)
Inequivalent atoms, fractional coordinates:
La (0.2500, 0.2500, 0.1355) [2 per cell]
Ta (0.2500, 0.7500, 0.4032) [2 per cell]
N (0.2500, 0.0000, 0.6378) [4 per cell]
N (0.2500, 0.7500, 0.1066) [2 per cell]

Summary:
E_tot = -9.18 eV per atom
Total moment = 0.00 μB per formula unit

A relaxed structure of La3Tb2TaN6. Source: the Alexandria database, functional GGA-PBE.

Lattice parameters (Å, degrees): 6.0546 10.4752 6.1863 90.00 108.93 90.00
Space group C2/m (No. 12)
Inequivalent atoms, fractional coordinates:
La (0.0000, 0.0000, 0.0000) [2 per cell]
La (0.0000, 0.3331, 0.0000) [4 per cell]
Tb (0.0000, 0.1668, 0.5000) [4 per cell]
Ta (0.0000, 0.5000, 0.5000) [2 per cell]
N (0.2220, 0.3492, 0.7128) [8 per cell]
N (0.2301, 0.5000, 0.2806) [4 per cell]

Summary:
E_tot = -8.57 eV per atom
Total moment = 0.00 μB per formula unit

A relaxed structure of LaTb2TaN4. Source: the Alexandria database, functional GGA-PBE.

Lattice parameters (Å, degrees): 3.4499 12.1688 12.1987 90.00 90.00 90.00
Space group Cmcm (No. 63)
Inequivalent atoms, fractional coordinates:
La (0.0000, 0.0922, 0.2500) [4 per cell]
Tb (0.0000, 0.3710, 0.0351) [8 per cell]
Ta (0.0000, 0.1673, 0.7500) [4 per cell]
N (0.0000, 0.0000, 0.0000) [4 per cell]
N (0.0000, 0.2609, 0.6212) [8 per cell]
N (0.0000, 0.4318, 0.2500) [4 per cell]

Summary:
E_tot = -8.73 eV per atom
Total moment = 0.00 μB per formula unit

A relaxed structure of LaTbTaN3. Source: the Alexandria database, functional GGA-PBE.

Lattice parameters (Å, degrees): 7.6515 3.5028 7.9635 90.00 93.11 90.00
Space group P2_1/m (No. 11)
Inequivalent atoms, fractional coordinates:
La (0.1636, 0.2500, 0.1655) [2 per cell]
Tb (0.3907, 0.7500, 0.8443) [2 per cell]
Ta (0.1212, 0.2500, 0.5818) [2 per cell]
N (0.1505, 0.2500, 0.8291) [2 per cell]
N (0.1620, 0.7500, 0.4568) [2 per cell]
N (0.3879, 0.7500, 0.1235) [2 per cell]

Summary:
E_tot = -8.84 eV per atom
Total moment = 0.00 μB per formula unit

A relaxed structure of LaTaTeN2. Source: the Alexandria database, functional GGA-PBE.

Lattice parameters (Å, degrees): 4.2433 4.2433 6.6104 90.00 90.00 90.00
Space group P4/mmm (No. 123)
Inequivalent atoms, fractional coordinates:
La (0.0000, 0.0000, 0.0000) [1 per cell]
Ta (0.5000, 0.5000, 0.5000) [1 per cell]
Te (0.0000, 0.0000, 0.5000) [1 per cell]
N (0.0000, 0.5000, 0.0000) [2 per cell]

Summary:
Distance to the lowest polymorph of the same formula = 1635 meV/atom
E_tot = -6.09 eV per atom
Total moment = 2.13 μB per formula unit

A relaxed structure of LaTaTeN2. Source: the Alexandria database, functional GGA-PBE.

Lattice parameters (Å, degrees): 4.2454 4.2454 5.4538 90.00 90.00 90.00
Space group P4/mmm (No. 123)
Inequivalent atoms, fractional coordinates:
La (0.0000, 0.0000, 0.0000) [1 per cell]
Ta (0.5000, 0.5000, 0.5000) [1 per cell]
Te (0.5000, 0.5000, 0.0000) [1 per cell]
N (0.0000, 0.5000, 0.5000) [2 per cell]

Summary:
Distance to the lowest polymorph of the same formula = 0 meV/atom
E_tot = -7.73 eV per atom
Total moment = 0.00 μB per formula unit

no.,formation energy (no corrections) (meV/atom)
1,-833
2,-1414
3,-1309
4,-1109
5,1220
6,-415